(1)
An optimized crystal structure of TcSbBrN2, computed with GGA-PBEsol.

V, Å³ per atom: 16.53
Raw formation energy, eV/atom: 0.42
Electronic total energy, eV per atom: -6.527

Cell and atoms, written as CIF:
```
data_TcSbBrN2
_space_group_name_H-M_alt 'P 4/m m m'
_space_group_IT_number 123
_space_group_name_Hall '-P 4 2'
_cell_length_a 3.883
_cell_length_b 3.883
_cell_length_c 5.481
_cell_angle_alpha 90.00
_cell_angle_beta 90.00
_cell_angle_gamma 90.00
loop_
_atom_site_label
_atom_site_type_symbol
_atom_site_fract_x
_atom_site_fract_y
_atom_site_fract_z
Tc1 Tc 0.000 0.000 0.000
Sb1 Sb 0.000 0.000 0.500
Br1 Br 0.500 0.500 0.500
N1 N 0.000 0.500 0.000
```


(2)
An optimized crystal structure of ScBr2N, computed with GGA-PBEsol.

V, Å³ per atom: 18.09
Raw formation energy, eV/atom: 0.14
Offset from the most stable computed form, eV per atom: 0.649
Electronic total energy, eV per atom: -4.574

Cell and atoms, written as CIF:
```
data_ScBr2N
_space_group_name_H-M_alt 'F m -3 m'
_space_group_IT_number 225
_space_group_name_Hall '-F 4 2 3'
_cell_length_a 6.615
_cell_length_b 6.615
_cell_length_c 6.615
_cell_angle_alpha 90.00
_cell_angle_beta 90.00
_cell_angle_gamma 90.00
loop_
_atom_site_label
_atom_site_type_symbol
_atom_site_fract_x
_atom_site_fract_y
_atom_site_fract_z
Sc1 Sc 0.000 0.000 0.000
Br1 Br 0.250 0.250 0.250
N1 N 0.000 0.000 0.500
```


(3)
An optimized crystal structure of ScBr2N, computed with GGA-PBEsol.

V, Å³ per atom: 25.07
Raw formation energy, eV/atom: -0.51
Offset from the most stable computed form, eV per atom: 0.000
Electronic total energy, eV per atom: -5.224

Cell and atoms, written as CIF:
```
data_ScBr2N
_space_group_name_H-M_alt 'I -4 2 d'
_space_group_IT_number 122
_space_group_name_Hall 'I -4 2bw'
_cell_length_a 9.753
_cell_length_b 9.753
_cell_length_c 4.217
_cell_angle_alpha 90.00
_cell_angle_beta 90.00
_cell_angle_gamma 90.00
loop_
_atom_site_label
_atom_site_type_symbol
_atom_site_fract_x
_atom_site_fract_y
_atom_site_fract_z
Sc1 Sc 0.000 0.000 0.000
Br1 Br 0.093 0.750 0.125
N1 N 0.000 0.000 0.500
```


(4)
An optimized crystal structure of ScSe2BrN, computed with GGA-PBEsol.

V, Å³ per atom: 17.71
Raw formation energy, eV/atom: 0.13
Electronic total energy, eV per atom: -4.810

Cell and atoms, written as CIF:
```
data_ScSe2BrN
_space_group_name_H-M_alt 'P 4/m m m'
_space_group_IT_number 123
_space_group_name_Hall '-P 4 2'
_cell_length_a 4.564
_cell_length_b 4.564
_cell_length_c 4.251
_cell_angle_alpha 90.00
_cell_angle_beta 90.00
_cell_angle_gamma 90.00
loop_
_atom_site_label
_atom_site_type_symbol
_atom_site_fract_x
_atom_site_fract_y
_atom_site_fract_z
Sc1 Sc 0.000 0.000 0.000
Se1 Se 0.000 0.500 0.500
Br1 Br 0.500 0.500 0.000
N1 N 0.500 0.500 0.500
```


(5)
An optimized crystal structure of ScTaBrN2, computed with GGA-PBEsol.

V, Å³ per atom: 16.40
Raw formation energy, eV/atom: 1.94
Electronic total energy, eV per atom: -5.673

Cell and atoms, written as CIF:
```
data_ScTaBrN2
_space_group_name_H-M_alt 'P 4/m m m'
_space_group_IT_number 123
_space_group_name_Hall '-P 4 2'
_cell_length_a 4.170
_cell_length_b 4.170
_cell_length_c 4.715
_cell_angle_alpha 90.00
_cell_angle_beta 90.00
_cell_angle_gamma 90.00
loop_
_atom_site_label
_atom_site_type_symbol
_atom_site_fract_x
_atom_site_fract_y
_atom_site_fract_z
Sc1 Sc 0.000 0.000 0.000
Ta1 Ta 0.500 0.500 0.000
Br1 Br 0.500 0.500 0.500
N1 N 0.000 0.500 0.500
```


(6)
An optimized crystal structure of SeBr2N, computed with GGA-PBEsol.

V, Å³ per atom: 21.63
Raw formation energy, eV/atom: 1.28
Electronic total energy, eV per atom: -2.752

Cell and atoms, written as CIF:
```
data_SeBr2N
_space_group_name_H-M_alt 'R -3 m'
_space_group_IT_number 166
_space_group_name_Hall '-R 3 2"'
_cell_length_a 3.5574
_cell_length_b 3.5574
_cell_length_c 23.6874
_cell_angle_alpha 90.00
_cell_angle_beta 90.00
_cell_angle_gamma 120.00
loop_
_atom_site_label
_atom_site_type_symbol
_atom_site_fract_x
_atom_site_fract_y
_atom_site_fract_z
Se1 Se 0.0000 0.0000 0.0000
Br1 Br 0.0000 0.0000 0.4217
N1 N 0.0000 0.0000 0.5000
```


(7)
An optimized crystal structure of Se2BrN2, computed with GGA-PBEsol.

V, Å³ per atom: 20.11
Raw formation energy, eV/atom: 2.51
Electronic total energy, eV per atom: -2.819

Cell and atoms, written as CIF:
```
data_Se2BrN2
_space_group_name_H-M_alt 'P 4/m m m'
_space_group_IT_number 123
_space_group_name_Hall '-P 4 2'
_cell_length_a 5.221
_cell_length_b 5.221
_cell_length_c 3.688
_cell_angle_alpha 90.00
_cell_angle_beta 90.00
_cell_angle_gamma 90.00
loop_
_atom_site_label
_atom_site_type_symbol
_atom_site_fract_x
_atom_site_fract_y
_atom_site_fract_z
Se1 Se 0.000 0.500 0.000
Br1 Br 0.000 0.000 0.000
N1 N 0.000 0.000 0.500
N2 N 0.500 0.500 0.500
```


(8)
An optimized crystal structure of SiSeBrN2, computed with GGA-PBEsol.

V, Å³ per atom: 18.67
Raw formation energy, eV/atom: 1.98
Electronic total energy, eV per atom: -3.727

Cell and atoms, written as CIF:
```
data_SiSeBrN2
_space_group_name_H-M_alt 'P 4/m m m'
_space_group_IT_number 123
_space_group_name_Hall '-P 4 2'
_cell_length_a 3.753
_cell_length_b 3.753
_cell_length_c 6.629
_cell_angle_alpha 90.00
_cell_angle_beta 90.00
_cell_angle_gamma 90.00
loop_
_atom_site_label
_atom_site_type_symbol
_atom_site_fract_x
_atom_site_fract_y
_atom_site_fract_z
Si1 Si 0.000 0.000 0.000
Se1 Se 0.500 0.500 0.000
Br1 Br 0.500 0.500 0.500
N1 N 0.000 0.500 0.500
```


(9)
An optimized crystal structure of TeSe2BrN, computed with GGA-PBEsol.

V, Å³ per atom: 22.89
Raw formation energy, eV/atom: 1.02
Offset from the most stable computed form, eV per atom: 0.000
Electronic total energy, eV per atom: -3.302

Cell and atoms, written as CIF:
```
data_TeSe2BrN
_space_group_name_H-M_alt 'P 4/m m m'
_space_group_IT_number 123
_space_group_name_Hall '-P 4 2'
_cell_length_a 5.383
_cell_length_b 5.383
_cell_length_c 3.950
_cell_angle_alpha 90.00
_cell_angle_beta 90.00
_cell_angle_gamma 90.00
loop_
_atom_site_label
_atom_site_type_symbol
_atom_site_fract_x
_atom_site_fract_y
_atom_site_fract_z
Te1 Te 0.000 0.000 0.000
Se1 Se 0.000 0.500 0.000
Br1 Br 0.500 0.500 0.500
N1 N 0.000 0.000 0.500
```


(10)
An optimized crystal structure of TeSeBr2N, computed with GGA-PBEsol.

V, Å³ per atom: 32.30
Raw formation energy, eV/atom: 1.10
Electronic total energy, eV per atom: -2.832

Cell and atoms, written as CIF:
```
data_TeSeBr2N
_space_group_name_H-M_alt 'P 4/m m m'
_space_group_IT_number 123
_space_group_name_Hall '-P 4 2'
_cell_length_a 5.562
_cell_length_b 5.562
_cell_length_c 5.221
_cell_angle_alpha 90.00
_cell_angle_beta 90.00
_cell_angle_gamma 90.00
loop_
_atom_site_label
_atom_site_type_symbol
_atom_site_fract_x
_atom_site_fract_y
_atom_site_fract_z
Te1 Te 0.000 0.000 0.000
Se1 Se 0.000 0.000 0.500
Br1 Br 0.000 0.500 0.000
N1 N 0.500 0.500 0.500
```


(11)
An optimized crystal structure of TeSe2BrN, computed with GGA-PBEsol.

V, Å³ per atom: 20.90
Raw formation energy, eV/atom: 1.28
Offset from the most stable computed form, eV per atom: 0.257
Electronic total energy, eV per atom: -3.044

Cell and atoms, written as CIF:
```
data_TeSe2BrN
_space_group_name_H-M_alt 'P 4/m m m'
_space_group_IT_number 123
_space_group_name_Hall '-P 4 2'
_cell_length_a 5.326
_cell_length_b 5.326
_cell_length_c 3.684
_cell_angle_alpha 90.00
_cell_angle_beta 90.00
_cell_angle_gamma 90.00
loop_
_atom_site_label
_atom_site_type_symbol
_atom_site_fract_x
_atom_site_fract_y
_atom_site_fract_z
Te1 Te 0.000 0.000 0.000
Se1 Se 0.000 0.500 0.500
Br1 Br 0.500 0.500 0.500
N1 N 0.500 0.500 0.000
```


(12)
An optimized crystal structure of TlSe2BrN, computed with GGA-PBEsol.

V, Å³ per atom: 25.11
Raw formation energy, eV/atom: 1.31
Electronic total energy, eV per atom: -2.836

Cell and atoms, written as CIF:
```
data_TlSe2BrN
_space_group_name_H-M_alt 'P 4/m m m'
_space_group_IT_number 123
_space_group_name_Hall '-P 4 2'
_cell_length_a 5.455
_cell_length_b 5.455
_cell_length_c 4.219
_cell_angle_alpha 90.00
_cell_angle_beta 90.00
_cell_angle_gamma 90.00
loop_
_atom_site_label
_atom_site_type_symbol
_atom_site_fract_x
_atom_site_fract_y
_atom_site_fract_z
Tl1 Tl 0.000 0.000 0.000
Se1 Se 0.000 0.500 0.000
Br1 Br 0.500 0.500 0.500
N1 N 0.000 0.000 0.500
```